Below is a geometry-optimized SiTc3O structure, with properties calculated at the GGA-PBE level.

The structure in POSCAR format:
```
SiTc3O
1.0
4.035 0.000 0.000
0.000 4.035 0.000
0.000 0.000 4.035
Si Tc O
1 3 1
Cartesian
0.000 0.000 0.000
0.000 2.017 2.017
2.017 0.000 2.017
2.017 2.017 0.000
2.017 2.017 2.017
```

Computed properties:
calculated density: 8.5 g/cm³
Fermi-level density of states: 4.595 states/eV per cell
uncorrected formation energy: 76.4 meV/atom
size of the total moment: 0.77 μB per cell

Below is a geometry-optimized SiTc2O structure, with properties calculated at the GGA-PBE level.

The structure in POSCAR format:
```
SiTc2O
1.0
0.000 2.903 2.903
2.903 0.000 2.903
2.903 2.903 0.000
Si Tc O
1 2 1
Cartesian
0.000 0.000 0.000
1.451 1.451 1.451
4.354 4.354 4.354
2.903 2.903 2.903
```

Computed properties:
calculated density: 8.2 g/cm³
Fermi-level density of states: 3.555 states/eV per cell
uncorrected formation energy: 49.6 meV/atom
size of the total moment: 0.00 μB per cell

Below is a geometry-optimized Si3TcO structure, with properties calculated at the GGA-PBE level.

The structure in POSCAR format:
```
Si3TcO
1.0
3.985 0.000 0.000
0.000 3.985 0.000
0.000 0.000 3.985
Si Tc O
3 1 1
Cartesian
0.000 0.000 1.993
0.000 1.993 0.000
1.993 0.000 0.000
1.993 1.993 1.993
0.000 0.000 0.000
```

Computed properties:
calculated density: 5.2 g/cm³
Fermi-level density of states: 3.868 states/eV per cell
uncorrected formation energy: 163.0 meV/atom
size of the total moment: 0.00 μB per cell

Below is a geometry-optimized SiTcO2 structure, with properties calculated at the GGA-PBE level.

The structure in POSCAR format:
```
SiTcO2
1.0
-2.305 2.305 4.178
2.305 -2.305 4.178
2.305 2.305 -4.178
Si Tc O
2 2 4
Cartesian
0.000 0.000 0.000
0.000 2.305 2.089
2.305 0.000 2.089
0.000 0.000 4.178
3.458 0.628 -1.045
0.628 1.153 1.045
-1.153 1.677 3.134
1.677 1.153 5.223
```

Computed properties:
calculated density: 5.9 g/cm³
Fermi-level density of states: 2.009 states/eV per cell
uncorrected formation energy: -678.1 meV/atom
size of the total moment: 0.00 μB per cell

Below is a geometry-optimized SiTcO3 structure, with properties calculated at the GGA-PBE level.

The structure in POSCAR format:
```
SiTcO3
1.0
3.613 0.000 0.000
0.000 3.613 0.000
0.000 0.000 3.613
Si Tc O
1 1 3
Cartesian
0.000 0.000 0.000
1.807 1.807 1.807
0.000 0.000 1.807
0.000 1.807 0.000
1.807 0.000 0.000
```

Computed properties:
calculated density: 6.1 g/cm³
Fermi-level density of states: 0.228 states/eV per cell
uncorrected formation energy: -1103.5 meV/atom
size of the total moment: 5.00 μB per cell

Below is a geometry-optimized SiTcO3 structure, with properties calculated at the GGA-PBE level.

The structure in POSCAR format:
```
SiTcO3
1.0
3.881 0.000 0.000
0.000 3.881 0.000
0.000 0.000 3.881
Si Tc O
1 1 3
Cartesian
0.000 0.000 0.000
1.941 1.941 1.941
0.000 1.941 1.941
1.941 0.000 1.941
1.941 1.941 0.000
```

Computed properties:
calculated density: 4.9 g/cm³
Fermi-level density of states: 3.760 states/eV per cell
uncorrected formation energy: -644.2 meV/atom
size of the total moment: 0.00 μB per cell

Below is a geometry-optimized SiTcO structure, with properties calculated at the GGA-PBE level.

The structure in POSCAR format:
```
SiTcO
1.0
2.550 -1.549 0.000
2.550 1.549 0.000
-1.798 0.000 4.821
Si Tc O
1 1 1
Cartesian
0.000 0.000 0.000
1.852 0.000 1.616
3.314 0.000 3.178
```

Computed properties:
calculated density: 6.2 g/cm³
Fermi-level density of states: 1.846 states/eV per cell
uncorrected formation energy: -766.6 meV/atom
size of the total moment: 0.00 μB per cell

Below is a geometry-optimized YSi2TcO structure, with properties calculated at the GGA-PBE level.

The structure in POSCAR format:
```
YSi2TcO
1.0
5.266 0.000 0.000
0.000 5.266 0.000
0.000 0.000 5.131
Y Si Tc O
1 2 1 1
Cartesian
0.000 0.000 0.000
0.000 2.633 0.000
2.633 0.000 0.000
0.000 0.000 2.565
2.633 2.633 2.565
```

Computed properties:
calculated density: 3.0 g/cm³
Fermi-level density of states: 7.761 states/eV per cell
uncorrected formation energy: 2090.3 meV/atom
size of the total moment: 2.53 μB per cell